[1]
Entry from Alexandria: ZnTe2Pd at its PBEsol-relaxed geometry (SCAN).

abc: 4.0622 4.0622 8.1425
angles: 75.56 75.56 60.00
Element x y z (fractional)
1 Pd 0.5000 0.5000 0.5000
2 Te 0.1085 0.1085 0.6745
3 Te 0.8915 0.8915 0.3255
4 Zn 0.0000 0.0000 0.0000

Formation energy from raw total energies, eV/f.u.: -0.36
DOS at the Fermi energy, states/eV per cell: 1.97
DFT total energy, eV/atom: -30.287



[2]
Entry from Alexandria: MnCo2Re at its PBEsol-relaxed geometry (SCAN).

abc: 2.5416 4.3635 4.3635
angles: 109.95 90.00 90.00
Element x y z (fractional)
1 Co 0.0000 0.5000 0.0000
2 Co 0.0000 0.0000 0.5000
3 Mn 0.5000 0.0000 0.0000
4 Re 0.5000 0.5000 0.5000

ΔH_f (0 K), eV per atom: 0.092
DOS at the Fermi energy, states/eV per cell: 3.06
DFT total energy, eV/atom: -30.898



[3]
Entry from Alexandria: LaMoSe2 at its PBEsol-relaxed geometry (SCAN).

abc: 4.8222 4.8222 4.8222
angles: 60.00 60.00 60.00
Element x y z (fractional)
1 Se 0.2500 0.2500 0.2500
2 Se 0.7500 0.7500 0.7500
3 Mo 0.0000 0.0000 0.0000
4 La 0.5000 0.5000 0.5000

Formation energy from raw total energies, eV/f.u.: -2.85
DOS at the Fermi energy, states/eV per cell: 2.09
DFT total energy, eV/atom: -30.249



[4]
Entry from Alexandria: SrSi2Ag2 at its PBEsol-relaxed geometry (SCAN).

abc: 4.3282 4.3282 6.0385
angles: 111.00 111.00 90.00
Element x y z (fractional)
1 Ag 0.2500 0.7500 0.5000
2 Ag 0.7500 0.2500 0.5000
3 Si 0.6121 0.6121 0.2242
4 Si 0.3879 0.3879 0.7758
5 Sr 0.0000 0.0000 0.0000

Formation energy from raw total energies, eV/f.u.: -1.52
DOS at the Fermi energy, states/eV per cell: 1.36
DFT total energy, eV/atom: -21.312



[5]
Entry from Alexandria: Sr2TlZn2 at its PBEsol-relaxed geometry (SCAN).

abc: 5.8822 5.8822 5.8822
angles: 94.17 117.62 117.62
Element x y z (fractional)
1 Tl 0.0000 0.0000 0.0000
2 Zn 0.0000 0.3538 0.3538
3 Zn 0.0000 0.6462 0.6462
4 Sr 0.5000 0.7500 0.2500
5 Sr 0.5000 0.2500 0.7500

ΔH_f (0 K), eV per atom: -0.180
DOS at the Fermi energy, states/eV per cell: 2.59
DFT total energy, eV/atom: -28.967



[6]
Entry from Alexandria: NaLi2MgSb at its PBEsol-relaxed geometry (SCAN).

abc: 4.8076 4.8076 5.3507
angles: 90.00 90.00 90.00
Element x y z (fractional)
1 Sb 0.0000 0.0000 0.5000
2 Li 0.5000 0.0000 0.0000
3 Li 0.0000 0.5000 0.0000
4 Na 0.0000 0.0000 0.0000
5 Mg 0.5000 0.5000 0.5000

Formation energy from raw total energies, eV/f.u.: 1.28
DOS at the Fermi energy, states/eV per cell: 1.41
DFT total energy, eV/atom: -9.991



[7]
Entry from Alexandria: LaTaBe2 at its PBEsol-relaxed geometry (SCAN).

abc: 5.5323 5.8597 5.8597
angles: 77.12 61.83 61.83
Element x y z (fractional)
1 Ta 0.7500 0.5000 0.5000
2 Ta 0.0000 0.0000 0.0000
3 Be 0.0764 0.5486 0.0486
4 Be 0.6736 0.4514 0.9514
5 Be 0.8750 0.0486 0.4514
6 Be 0.3750 0.9514 0.5486
7 La 0.2500 0.5000 0.5000
8 La 0.5000 0.0000 0.0000

ΔH_f (0 K), eV per atom: 0.777
DOS at the Fermi energy, states/eV per cell: 6.24
DFT total energy, eV/atom: -28.822



[8]
Entry from Alexandria: Rb2NaMnO4 at its PBEsol-relaxed geometry (SCAN).

abc: 5.9454 5.9462 7.8012
angles: 90.00 92.71 90.00
Element x y z (fractional)
1 O 0.3296 0.0208 0.8268
2 O 0.7991 0.7500 0.4735
3 O 0.6704 0.9792 0.1732
4 O 0.6704 0.5208 0.1732
5 O 0.3296 0.4792 0.8268
6 O 0.2009 0.2500 0.5265
7 O 0.0750 0.7500 0.1926
8 O 0.9250 0.2500 0.8074
9 Rb 0.1144 0.2500 0.1711
10 Rb 0.6933 0.2500 0.4842
11 Rb 0.8856 0.7500 0.8289
12 Rb 0.3067 0.7500 0.5158
13 Na 0.6135 0.2500 0.9653
14 Na 0.3865 0.7500 0.0347
15 Mn 0.1933 0.2500 0.7421
16 Mn 0.8067 0.7500 0.2579

Formation energy from raw total energies, eV/f.u.: -15.62
DOS at the Fermi energy, states/eV per cell: 0.00
DFT total energy, eV/atom: -13.061



[9]
Entry from Alexandria: AlHg2Pt at its PBEsol-relaxed geometry (SCAN).

abc: 4.1638 4.1638 5.0052
angles: 114.58 114.58 90.00
Element x y z (fractional)
1 Pt 0.5000 0.5000 0.0000
2 Hg 0.0000 0.0000 0.0000
3 Hg 0.7500 0.2500 0.5000
4 Al 0.2500 0.7500 0.5000

ΔH_f (0 K), eV per atom: -0.015
DOS at the Fermi energy, states/eV per cell: 0.72
DFT total energy, eV/atom: -53.585



[10]
Entry from Alexandria: Li6Mn5SbO12 at its PBEsol-relaxed geometry (SCAN).

abc: 5.2036 5.2036 10.3454
angles: 94.66 94.66 116.47
Element x y z (fractional)
1 O 0.0086 0.3393 0.1065
2 O 0.9074 0.9065 0.6179
3 O 0.7545 0.4321 0.3879
4 O 0.6607 0.9914 0.8935
5 O 0.3392 0.0081 0.1062
6 O 0.2953 0.2961 0.9026
7 O 0.4317 0.7548 0.3883
8 O 0.0935 0.0926 0.3821
9 O 0.7039 0.7047 0.0974
10 O 0.2452 0.5683 0.6117
11 O 0.5679 0.2455 0.6121
12 O 0.9919 0.6608 0.8938
13 Li 0.7412 0.7411 0.2836
14 Li 0.0736 0.4076 0.2889
15 Li 0.5924 0.9264 0.7111
16 Li 0.2589 0.2588 0.7164
17 Li 0.9263 0.5921 0.7112
18 Li 0.4079 0.0737 0.2888
19 Sb 0.9998 0.0001 0.0000
20 Mn 0.8370 0.1630 0.5000
21 Mn 0.3331 0.6669 0.0000
22 Mn 0.5001 0.4999 0.5000
23 Mn 0.6667 0.3333 0.0000
24 Mn 0.1630 0.8370 0.5000

Formation energy from raw total energies, eV/f.u.: -47.90
DOS at the Fermi energy, states/eV per cell: 7.20
DFT total energy, eV/atom: -11.065



[11]
Entry from Alexandria: FeRe2Ag at its PBEsol-relaxed geometry (SCAN).

abc: 2.6996 4.6559 4.7824
angles: 101.92 106.39 90.00
Element x y z (fractional)
1 Re 0.2634 0.2645 0.5268
2 Re 0.7366 0.7355 0.4732
3 Ag 0.5000 0.0000 0.0000
4 Fe 0.0000 0.5000 0.0000

ΔH_f (0 K), eV per atom: 0.414
DOS at the Fermi energy, states/eV per cell: 2.66
DFT total energy, eV/atom: -47.509



[12]
Entry from Alexandria: K2ZnCr2H4O10 at its PBEsol-relaxed geometry (SCAN).

abc: 5.6390 7.8793 11.5500
angles: 75.75 75.87 69.03
Element x y z (fractional)
1 O 0.3760 0.9172 0.1570
2 O 0.5296 0.0331 0.6406
3 O 0.8485 0.9327 0.1619
4 O 0.5743 0.7620 0.8351
5 O 0.2034 0.4669 0.8594
6 O 0.9751 0.0999 0.6091
7 O 0.4704 0.9669 0.3594
8 O 0.7966 0.5331 0.1406
9 O 0.9430 0.5673 0.3381
10 O 0.4502 0.5828 0.3430
11 O 0.1515 0.0673 0.8381
12 O 0.6240 0.0828 0.8430
13 O 0.8286 0.2620 0.3351
14 O 0.6842 0.4001 0.8909
15 O 0.5498 0.4172 0.6570
16 O 0.3158 0.5999 0.1091
17 O 0.0249 0.9001 0.3909
18 O 0.0570 0.4327 0.6619
19 O 0.1714 0.7380 0.6649
20 O 0.4257 0.2380 0.1649
21 K 0.0331 0.2208 0.0469
22 K 0.9669 0.7792 0.9531
23 K 0.3008 0.2792 0.4531
24 K 0.6992 0.7208 0.5469
25 Cr 0.4685 0.9855 0.7891
26 Cr 0.2432 0.5145 0.7109
27 Cr 0.7568 0.4855 0.2891
28 Cr 0.5315 0.0145 0.2109
29 H 0.1955 0.9030 0.4002
30 H 0.3321 0.4647 0.1351
31 H 0.4987 0.5970 0.0998
32 H 0.0681 0.9647 0.6351
33 H 0.6679 0.5353 0.8649
34 H 0.9319 0.0353 0.3649
35 H 0.5013 0.4030 0.9002
36 H 0.8045 0.0970 0.5998
37 Zn 0.1411 0.7500 0.2500
38 Zn 0.8589 0.2500 0.7500

DOS at the Fermi energy, states/eV per cell: 0.00
DFT total energy, eV/atom: -9.254